Co2PbF: relaxed, PBE with a Hubbard U.

Total energy = -3.654 eV/atom
Calculated volume = 16.93 Å³ per atom
Size of the total moment = 4.7 Bohr magnetons per cell

Cell and atoms, written as POSCAR:
```
Co2PbF
1.0
0.0000 3.2354 3.2354
3.2354 0.0000 3.2354
3.2354 3.2354 0.0000
Co Pb F
2 1 1
direct
0.2500 0.2500 0.2500
0.7500 0.7500 0.7500
0.0000 0.0000 0.0000
0.5000 0.5000 0.5000
```